VASP calculation (PBE+U) on crystalline WCl3O at its relaxed geometry.

Output
Space group: No. 221
Electronic total energy, eV per atom: -2.344
Total magnetization, μB per formula unit: 0.1

Geometry as CIF:
```
data_WCl3O
_cell_length_a 4.5127
_cell_length_b 4.5127
_cell_length_c 4.5127
_cell_angle_alpha 90.00
_cell_angle_beta 90.00
_cell_angle_gamma 90.00
_space_group_name_H-M_alt 'P 1'
_space_group_IT_number 1
loop_
_space_group_symop_operation_xyz
'x,y,z'
loop_
_atom_site_label
_atom_site_type_symbol
_atom_site_fract_x
_atom_site_fract_y
_atom_site_fract_z
_atom_site_occupancy
W1 W 0.0000 0.0000 0.0000 1
Cl1 Cl 0.0000 0.5000 0.5000 1
Cl2 Cl 0.5000 0.0000 0.5000 1
Cl3 Cl 0.5000 0.5000 0.0000 1
O1 O 0.5000 0.5000 0.5000 1
```